Record 1
A plane-wave DFT calculation with PBE was carried out for crystalline Y2TiGa3Ir4 at its relaxed geometry.

extended XYZ file:
```
10
Lattice="-2.9731 -1.3093 2.5543 1.8720 -3.6723 0.2966 5.6939 3.5861 8.4655" Properties=species:S:1:pos:R:3 pbc="T T T"
Ir 0.0000 0.0000 0.0000
Ir -0.5506 -2.4908 1.4254
Ir 2.1605 1.6423 6.6994
Ir 2.9828 -0.5470 3.1915
Y -0.1709 0.1740 3.2333
Y 5.3142 0.9213 6.6577
Ga 2.8469 1.7931 4.2327
Ga 1.6707 -1.3734 1.2406
Ga 3.4727 2.4688 8.6503
Ti 2.2964 -0.6977 5.6582
```

Computed properties:
For the calculated total energy, the calculation gives -7.281 eV/atom. As for the symmetry: P-4m2, No. 115.

Record 2
A plane-wave DFT calculation with PBE was carried out for crystalline TiZnGaIr at its relaxed geometry.

extended XYZ file:
```
4
Lattice="4.3676 0.0000 0.0000 2.1838 3.7825 0.0000 2.1838 1.2608 3.5661" Properties=species:S:1:pos:R:3 pbc="T T T"
Ir 0.0000 0.0000 0.0000
Zn 4.3676 2.5216 1.7831
Ga 6.5514 3.7825 2.6746
Ti 2.1838 1.2608 0.8915
```

Computed properties:
For the calculated total energy, the calculation gives -5.761 eV/atom. As for the symmetry: F-43m, No. 216.

Record 3
A plane-wave DFT calculation with PBE was carried out for crystalline Zr2TiGa2Ir5 at its relaxed geometry.

extended XYZ file:
```
20
Lattice="-2.3972 1.7015 -2.2101 -3.1497 -8.3540 -3.0150 -6.4150 -0.0725 6.9024" Properties=species:S:1:pos:R:3 pbc="T T T"
Ir -7.4857 -3.9256 2.0373
Ir -4.4061 0.8145 2.3462
Ir -5.7648 -1.6770 1.9018
Ir -5.4395 -6.9696 -2.5256
Ir -2.2570 -0.8443 -1.2619
Ir -6.1971 -5.0480 -0.2245
Ir -2.7735 -3.3263 -2.6126
Ir -6.5225 0.2445 4.2029
Ir -4.4763 -2.7994 -0.3600
Ir -9.7049 -5.8808 2.9392
Ti 0.0000 0.0000 0.0000
Ti -4.7823 -4.2133 1.9437
Zr -6.9201 -6.9627 2.1458
Zr -2.6446 -1.4639 1.7416
Zr -6.3411 -2.7969 4.7248
Zr -3.2236 -5.6296 -0.8374
Ga -1.9882 -3.1287 -0.2521
Ga -7.5765 -5.2978 4.1395
Ga -5.1464 -7.3236 -0.0559
Ga -4.4183 -1.1029 3.9433
```

Computed properties:
For the calculated total energy, the calculation gives -8.224 eV/atom. As for the symmetry: P4/mbm, No. 127.

Record 4
A plane-wave DFT calculation with PBE was carried out for crystalline TlGa3Ir at its relaxed geometry.

extended XYZ file:
```
5
Lattice="-0.9533 -4.4484 -1.7510 4.2065 0.0678 -2.4625 2.2715 -1.9926 3.8253" Properties=species:S:1:pos:R:3 pbc="T T T"
Ir 0.0000 0.0000 0.0000
Ga 1.1358 -0.9963 1.9127
Ga 2.1033 0.0339 -1.2313
Ga -0.4767 -2.2242 -0.8755
Tl 2.7623 -3.1866 -0.1941
```

Computed properties:
The energy above the most stable polymorph in this dataset is 0 meV per atom. For the calculated total energy, the calculation gives -4.235 eV/atom. As for the symmetry: Pm-3m, No. 221.

Record 5
A plane-wave DFT calculation with PBE was carried out for crystalline TlGa2Ir at its relaxed geometry.

extended XYZ file:
```
8
Lattice="-3.2542 -0.3251 -4.4330 2.5254 -4.6564 -1.5124 -5.3870 -6.5081 1.0090" Properties=species:S:1:pos:R:3 pbc="T T T"
Ga -2.4631 -2.3521 -1.8875
Ga -0.7770 -4.6380 -2.0670
Ga -3.8465 -7.6103 -1.7524
Ga -5.1450 -8.3787 -4.1657
Ir -0.3644 -2.4908 -2.9727
Ir -1.6130 -6.8276 -1.7380
Tl 0.0000 0.0000 0.0000
Tl -4.5028 -4.6620 -3.1983
```

Computed properties:
The energy above the most stable polymorph in this dataset is 0 meV per atom. For the calculated total energy, the calculation gives -4.144 eV/atom. As for the symmetry: I-42d, No. 122.

Record 6
A plane-wave DFT calculation with PBE was carried out for crystalline TlGa2Ir at its relaxed geometry.

extended XYZ file:
```
4
Lattice="0.5651 -1.3263 4.4887 -3.7560 -0.4662 2.8109 -1.3907 -4.2867 1.3843" Properties=species:S:1:pos:R:3 pbc="T T T"
Ir 0.0000 0.0000 0.0000
Ga -3.4363 -4.5595 6.5129
Ga -1.1454 -1.5198 2.1710
Tl -2.2909 -3.0396 4.3419
```

Computed properties:
The energy above the most stable polymorph in this dataset is 118 meV per atom. For the calculated total energy, the calculation gives -4.027 eV/atom. As for the symmetry: Fm-3m, No. 225.

Record 7
A plane-wave DFT calculation with PBE was carried out for crystalline Tl2Ga2Ir at its relaxed geometry.

extended XYZ file:
```
5
Lattice="3.9617 0.0000 0.0000 0.0000 3.9617 0.0000 1.9808 1.9808 7.4909" Properties=species:S:1:pos:R:3 pbc="T T T"
Ga 1.9808 1.9808 1.2130
Ga 3.9617 3.9617 6.2779
Tl 3.9617 1.9808 3.7454
Tl 1.9808 3.9617 3.7454
Ir 0.0000 0.0000 0.0000
```

Computed properties:
The energy above the most stable polymorph in this dataset is 685 meV per atom. For the calculated total energy, the calculation gives -3.160 eV/atom. As for the symmetry: I4/mmm, No. 139.

Record 8
A plane-wave DFT calculation with PBE was carried out for crystalline TlGaIr3 at its relaxed geometry.

extended XYZ file:
```
5
Lattice="-2.0214 3.9558 1.1744 -3.8694 -2.2715 0.9908 1.4336 -0.5531 4.3304" Properties=species:S:1:pos:R:3 pbc="T T T"
Ir -1.9347 -1.1357 0.4954
Ir 0.7168 -0.2765 2.1652
Ir -1.0107 1.9779 0.5872
Tl -2.2286 0.5656 3.2478
Ga 0.0000 0.0000 0.0000
```

Computed properties:
The energy above the most stable polymorph in this dataset is 0 meV per atom. For the calculated total energy, the calculation gives -5.328 eV/atom. As for the symmetry: Pm-3m, No. 221.

Record 9
A plane-wave DFT calculation with PBE was carried out for crystalline TlGaIr3 at its relaxed geometry.

extended XYZ file:
```
5
Lattice="-2.3111 -4.2270 1.2153 1.6130 0.4626 4.6765 -4.0918 2.5698 1.1571" Properties=species:S:1:pos:R:3 pbc="T T T"
Ir -2.0459 1.2849 0.5785
Ir 0.8065 0.2313 2.3383
Ir -1.1555 -2.1135 0.6076
Ga -2.3949 -0.5973 3.5244
Tl 0.0000 0.0000 0.0000
```

Computed properties:
The energy above the most stable polymorph in this dataset is 1183 meV per atom. For the calculated total energy, the calculation gives -4.144 eV/atom. As for the symmetry: Pm-3m, No. 221.

Record 10
A plane-wave DFT calculation with PBE was carried out for crystalline Tl2Ga2Ir at its relaxed geometry.

extended XYZ file:
```
10
Lattice="-1.4585 -6.2796 -1.8987 6.5587 -1.3515 -0.5683 0.1281 -1.6964 5.5121" Properties=species:S:1:pos:R:3 pbc="T T T"
Ga 1.5408 -1.7444 -0.5727
Ga 0.3768 -4.7947 -1.4843
Ga 4.7234 -2.8364 -0.9827
Ga 3.5594 -5.8866 -1.8943
Ir 0.0000 0.0000 0.0000
Ir 2.5501 -3.8155 -1.2335
Tl 0.8252 -3.0719 2.0540
Tl 4.4031 -6.2556 0.9911
Tl 0.9368 -6.3849 1.0318
Tl 4.2915 -2.9425 2.0133
```

Computed properties:
The energy above the most stable polymorph in this dataset is 0 meV per atom. For the calculated total energy, the calculation gives -3.844 eV/atom. As for the symmetry: P4/mbm, No. 127.

Record 11
A plane-wave DFT calculation with PBE was carried out for crystalline Tm6Ga2Ir at its relaxed geometry.

extended XYZ file:
```
18
Lattice="-1.4516 5.6533 0.8964 -8.0276 -1.9914 -0.4404 -0.2915 -0.9013 9.3891" Properties=species:S:1:pos:R:3 pbc="T T T"
Ga -8.0903 0.8657 7.1345
Ga -4.5712 3.7699 7.7427
Ga -5.1995 -1.0094 2.1024
Ga -1.6805 1.8948 2.7107
Tm -2.6070 2.2467 9.3281
Tm -5.0425 0.4724 6.9897
Tm -7.3381 0.1990 4.1307
Tm -0.6397 -0.1188 7.2943
Tm -7.1637 0.5139 0.5171
Tm -4.7282 2.2881 2.8555
Tm -6.9108 3.1689 5.7215
Tm -2.7874 -0.1186 0.5044
Tm -2.4326 2.5616 5.7144
Tm -6.9833 2.8792 9.3408
Tm -2.8599 -0.4083 4.1237
Tm -9.1311 2.8793 2.5509
Ir -4.7396 1.8309 0.2280
Ir -0.1458 -0.4506 4.6946
```

Computed properties:
For the calculated total energy, the calculation gives -5.084 eV/atom. As for the symmetry: P2_1/c, No. 14.

Record 12
A plane-wave DFT calculation with PBE was carried out for crystalline TmGa12Ir6 at its relaxed geometry.

extended XYZ file:
```
19
Lattice="-3.8656 -6.0011 -0.9369 6.4414 -1.4315 -2.8799 1.1518 0.4185 7.0945" Properties=species:S:1:pos:R:3 pbc="T T T"
Ga 3.9808 -4.6002 1.1901
Ga -0.2531 -2.4139 2.0876
Ga 5.8438 -1.7425 0.8886
Ga 1.1771 -2.9142 -0.6094
Ga -2.1161 -5.2716 2.3891
Ga -0.1787 -2.7927 5.4904
Ga 2.5505 -4.1000 3.8872
Ga 3.9063 -4.2214 -2.2126
Ga 3.8012 -1.0282 4.7401
Ga 1.1938 -5.8358 1.7155
Ga 2.5338 -1.1783 1.5623
Ga -0.0736 -5.9860 -1.4624
Ir 2.2129 -5.2542 -0.6182
Ir -0.0172 -4.4742 3.5870
Ir 4.3283 -2.5476 2.7679
Ir 3.7448 -2.5399 -0.3093
Ir 1.5147 -1.7599 3.8960
Ir -0.6007 -4.4665 0.5099
Tm 0.0000 0.0000 0.0000
```

Computed properties:
For the calculated total energy, the calculation gives -5.330 eV/atom. As for the symmetry: R-3m, No. 166.

Record 13
A plane-wave DFT calculation with PBE was carried out for crystalline TmGaIr at its relaxed geometry.

extended XYZ file:
```
3
Lattice="-0.7415 0.7482 3.1246 -3.1869 -3.0934 -0.0156 4.1289 -1.0717 1.2365" Properties=species:S:1:pos:R:3 pbc="T T T"
Ga -0.8719 -2.2948 0.9224
Ir -0.1236 0.1247 0.5207
Tm 1.1959 -1.2467 2.9025
```

Computed properties:
For the calculated total energy, the calculation gives -6.225 eV/atom. As for the symmetry: P-6m2, No. 187.

Record 14
A plane-wave DFT calculation with PBE was carried out for crystalline TmGa3Ir2 at its relaxed geometry.

extended XYZ file:
```
12
Lattice="-2.4704 2.0802 2.3841 -0.2398 -6.2863 5.2365 6.4999 4.5626 -0.6252" Properties=species:S:1:pos:R:3 pbc="T T T"
Tm 2.3862 -0.3157 6.1276
Tm 1.4034 0.6722 0.8678
Ga 3.4391 2.8736 1.0563
Ga 3.3409 0.3634 3.1448
Ga 3.8692 2.5227 5.1877
Ga 0.3505 -2.5172 5.9391
Ga 0.4487 -0.0070 3.8506
Ga -0.0796 -2.1663 1.8077
Ir 1.9180 -2.1663 3.8777
Ir 1.8716 2.5228 3.1177
Ir 5.2266 4.6130 1.3909
Ir -1.4369 -4.2566 5.6045
```

Computed properties:
For the calculated total energy, the calculation gives -5.782 eV/atom. As for the symmetry: C2/m, No. 12.

Record 15
A plane-wave DFT calculation with PBE was carried out for crystalline Tm5GaIr2 at its relaxed geometry.

extended XYZ file:
```
16
Lattice="6.8842 0.0000 -3.2497 -1.5340 6.7111 -3.2497 -0.2202 -0.2762 8.4501" Properties=species:S:1:pos:R:3 pbc="T T T"
Tm 0.0000 0.0000 0.0000
Tm -0.8095 3.3023 4.3439
Tm 2.6751 3.3555 -3.2497
Tm 1.1931 -0.0533 5.3855
Tm 2.7727 1.9280 -0.1851
Tm 2.3573 4.5068 2.1358
Tm 5.9394 3.1326 -2.3932
Tm 4.3599 1.1513 3.1774
Tm 0.7700 5.2836 -1.2267
Tm 3.9368 6.4881 -3.4348
Ga 3.9025 4.8952 -0.6495
Ga 1.2274 1.5397 2.6002
Ir 0.4071 2.4195 -1.6248
Ir 1.1618 5.7751 -3.9680
Ir 4.9430 4.2916 -4.8745
Ir 4.1883 0.9361 -2.5314
```

Computed properties:
For the calculated total energy, the calculation gives -6.118 eV/atom. As for the symmetry: I4/mcm, No. 140.

Record 16
A plane-wave DFT calculation with PBE was carried out for crystalline Tm2Ga4Ir3 at its relaxed geometry.

extended XYZ file:
```
9
Lattice="5.4799 -0.1157 0.0000 -2.6493 4.7983 0.0000 -1.4153 -2.3413 6.2875" Properties=species:S:1:pos:R:3 pbc="T T T"
Ir 0.0000 0.0000 0.0000
Ir -1.3246 2.3991 0.0000
Ir 2.7399 -0.0579 0.0000
Tm 0.0000 0.0000 4.7294
Tm 1.4153 2.3413 1.5581
Ga -1.2773 3.9689 2.0558
Ga 2.6926 -1.6277 4.2317
Ga 4.1079 0.7136 2.0558
Ga -2.6926 1.6277 4.2317
```

Computed properties:
For the calculated total energy, the calculation gives -5.924 eV/atom. As for the symmetry: Fmmm, No. 69.

Record 17
A plane-wave DFT calculation with PBE was carried out for crystalline Tm3GaIr at its relaxed geometry.

extended XYZ file:
```
10
Lattice="-1.3632 3.2833 2.7762 -5.5548 -3.4641 1.3692 3.8496 -3.6973 6.2631" Properties=species:S:1:pos:R:3 pbc="T T T"
Tm 1.9174 -3.5478 6.9696
Tm 0.9484 -0.4349 2.8122
Tm -1.8069 -2.1532 3.4914
Tm -1.2615 -1.7249 6.9171
Tm -4.9858 -0.3303 3.4389
Tm -4.0169 -3.4432 7.5963
Ga -1.3323 -4.8263 6.8859
Ga -1.7361 0.9482 3.5226
Ir 0.6313 -2.3127 4.8773
Ir -3.6998 -1.5654 5.5312
```

Computed properties:
For the calculated total energy, the calculation gives -5.680 eV/atom. As for the symmetry: Pmmn, No. 59.

Record 18
A plane-wave DFT calculation with PBE was carried out for crystalline TmGa6Ir4 at its relaxed geometry.

extended XYZ file:
```
11
Lattice="-0.3220 0.0612 -6.5845 -4.2378 -3.6279 3.5131 -1.7854 5.3094 3.4763" Properties=species:S:1:pos:R:3 pbc="T T T"
Ga -0.9587 0.2489 -3.4501
Ga -4.6609 -0.3551 4.9251
Ga -2.9320 0.8087 1.0069
Ga -3.8167 2.7218 4.9125
Ga -1.0537 2.6853 -1.5541
Ga -2.2799 -1.7834 -1.5357
Ir -4.7217 1.3075 2.8947
Ir -2.0843 2.3688 2.9403
Ir -2.9951 -0.9507 2.9539
Ir -2.5673 0.6987 -1.3945
Tm 0.0000 0.0000 0.0000
```

Computed properties:
For the calculated total energy, the calculation gives -5.791 eV/atom. As for the symmetry: I-42m, No. 121.

Record 19
A plane-wave DFT calculation with PBE was carried out for crystalline TmGaIr at its relaxed geometry.

extended XYZ file:
```
12
Lattice="-7.0467 0.4526 -0.3907 2.7747 -2.5048 6.0033 2.3559 6.2394 -0.7327" Properties=species:S:1:pos:R:3 pbc="T T T"
Ir 3.2786 0.8178 5.1981
Ir -5.2654 -0.0837 0.7689
Ir -0.2839 1.8906 2.8788
Ir 0.9935 -1.9685 4.8437
Tm -2.7747 0.9034 1.8239
Tm 1.9266 3.7968 1.6528
Tm -1.5967 4.0231 1.4575
Tm -1.3873 -0.3490 4.8255
Ga -1.9699 2.9103 4.3720
Ga 1.5512 2.6311 4.5463
Ga 1.4435 0.0773 3.5306
Ga 0.0539 1.2769 0.5079
```

Computed properties:
For the calculated total energy, the calculation gives -6.020 eV/atom. As for the symmetry: Fddd, No. 70.

Record 20
A plane-wave DFT calculation with PBE was carried out for crystalline Tm4Ga6Ir7 at its relaxed geometry.

extended XYZ file:
```
17
Lattice="-1.1974 1.7900 -6.9166 6.4842 2.4941 2.0520 -0.1420 -7.2100 0.6876" Properties=species:S:1:pos:R:3 pbc="T T T"
Ga 4.3660 -3.2464 1.8860
Ga 1.6474 1.3350 -1.5158
Ga 1.9763 -1.4695 0.8537
Ga -0.4173 -1.6889 -1.9410
Ga -0.9220 -3.7311 -4.2880
Ga 3.6395 2.9492 -3.3487
Ir 4.2290 0.9631 -1.7474
Ir 0.9159 -3.8889 -2.4295
Ir 2.3086 0.7871 -3.9895
Ir 0.0000 0.0000 0.0000
Ir 0.6521 -1.6389 -4.3306
Ir 4.4928 -1.2869 0.1537
Ir 2.8363 -3.7129 -0.1874
Tm -0.5987 0.8950 -3.4583
Tm 2.5725 -1.4629 -2.0884
Tm 3.2421 1.2471 1.0260
Tm -0.0710 -3.6050 0.3438
```

Computed properties:
For the calculated total energy, the calculation gives -6.553 eV/atom. As for the symmetry: Im-3m, No. 229.

What Fermi-level density of states values result from the calculations? In sequence: 0.56, 0.03, 0.29, 0.53, 0.56, 0.54, 0.74, 1.04, 0.66, 0.56, 0.89, 0.48, 0.44, 0.43, 0.82, 0.65, 0.59, 0.55, 0.45, 0.43 states/eV per atom.
What formation enthalpy at 0 K values result from the calculations? In sequence: -0.7458, -0.4970, -0.6893, -0.1735, 0.1759, 0.2935, 0.7699, 1.0674, 2.2508, 0.0853, -0.4458, -0.3850, -0.7716, -0.5700, -0.7300, -0.6311, -0.6198, -0.5116, -0.5670, -0.7834 eV per atom.